! GGA-PBE Ce2Zn3Rh, optimized geometry; values from VASP
! **Space group**: Pmm2, No. 25
! **Uncorrected energy**: -25.6 eV/cell
! **Energy of formation from the pure elements**: -0.43 eV/atom
&SYSTEM
  ibrav = 0, nat = 6, ntyp = 3
/
ATOMIC_SPECIES
Ce 140.12 Ce.upf
Zn 65.41 Zn.upf
Rh 102.91 Rh.upf
CELL_PARAMETERS angstrom
3.472 0.000 0.000
0.000 4.536 0.000
0.000 0.000 7.798
ATOMIC_POSITIONS angstrom
Ce 0.000 2.268 0.213
Ce 0.000 0.000 3.748
Zn 1.736 0.000 6.472
Zn 1.736 0.000 1.243
Zn 1.736 2.268 5.239
Rh 1.736 2.268 2.582